Density functional theory data (PBE) for La2MgPt after structural relaxation.

Calculated values
- Fermi-level density of states: 0.185 states/eV per atom
- Formation enthalpy at 0 K: -0.4680 eV per atom
- Magnetic moment: 0.0 μB/f.u.

Structure (CIF):
```
data_La2MgPt
_cell_length_a 7.258
_cell_length_b 7.258
_cell_length_c 7.258
_cell_angle_alpha 90.00
_cell_angle_beta 90.00
_cell_angle_gamma 90.00
_space_group_name_H-M_alt 'F -4 3 m'
_space_group_IT_number 216
_space_group_name_Hall 'F -4 2 3'
loop_
_atom_site_label
_atom_site_type_symbol
_atom_site_fract_x
_atom_site_fract_y
_atom_site_fract_z
_atom_site_occupancy
La1 La 0.000 0.000 0.000 1
La2 La 0.250 0.250 0.250 1
Mg1 Mg 0.000 0.000 0.500 1
Pt1 Pt 0.250 0.250 0.750 1
```